# CaB3N PBE-GGA relaxed
# **Raw formation energy**: 1.790 eV per atom
# **Offset from the most stable computed form**: 0 meV per atom
# **D(E_F)**: 2.4 states/eV/f.u.
# **Electronic total energy**: -21.408 eV for the cell shown
data_CaB3N
_chemical_formula_sum 'Ca1 B3 N1'
_cell_length_a 3.806
_cell_length_b 3.806
_cell_length_c 3.806
_cell_angle_alpha 90.00
_cell_angle_beta 90.00
_cell_angle_gamma 90.00
_symmetry_space_group_name_H-M 'P m -3 m'
_symmetry_Int_Tables_number 221
_symmetry_space_group_name_Hall '-P 4 2 3'
loop_
_atom_site_label
_atom_site_type_symbol
_atom_site_fract_x
_atom_site_fract_y
_atom_site_fract_z
Ca1 Ca 0.000 0.000 0.000
B1 B 0.000 0.500 0.500
N1 N 0.500 0.500 0.500

---

# LaAuI2 PBE-GGA relaxed
# **Raw formation energy**: -0.644 eV per atom
# **Offset from the most stable computed form**: 145 meV per atom
# **D(E_F)**: 0.0 states/eV/f.u.
# **Electronic total energy**: -55.531 eV for the cell shown
data_LaAuI2
_chemical_formula_sum 'La4 Au4 I8'
_cell_length_a 9.143
_cell_length_b 9.143
_cell_length_c 6.976
_cell_angle_alpha 90.00
_cell_angle_beta 90.00
_cell_angle_gamma 90.00
_symmetry_space_group_name_H-M 'I -4 2 d'
_symmetry_Int_Tables_number 122
_symmetry_space_group_name_Hall 'I -4 2bw'
loop_
_atom_site_label
_atom_site_type_symbol
_atom_site_fract_x
_atom_site_fract_y
_atom_site_fract_z
La1 La 0.000 0.000 0.000
Au1 Au 0.000 0.000 0.500
I1 I 0.206 0.250 0.125

---

# La2CuSn2 PBE-GGA relaxed
# **Offset from the most stable computed form**: 0 meV per atom
# **Energy of formation**: -657 meV/atom
# **D(E_F)**: 3.1 states/eV/f.u.
# **Electronic total energy**: -100.967 eV for the cell shown
data_La2CuSn2
_chemical_formula_sum 'La8 Cu4 Sn8'
_cell_length_a 11.560
_cell_length_b 4.695
_cell_length_c 11.449
_cell_angle_alpha 90.00
_cell_angle_beta 118.20
_cell_angle_gamma 90.00
_symmetry_space_group_name_H-M 'C 1 2/m 1'
_symmetry_Int_Tables_number 12
loop_
_symmetry_equiv_pos_as_xyz
'x,y,z'
'-x,-y,-z'
'-x,y,-z'
'x,-y,z'
'x+1/2,y+1/2,z'
'-x+1/2,-y+1/2,-z'
'-x+1/2,y+1/2,-z'
'x+1/2,-y+1/2,z'
loop_
_atom_site_label
_atom_site_type_symbol
_atom_site_fract_x
_atom_site_fract_y
_atom_site_fract_z
La1 La 0.010 0.000 0.335
La2 La 0.186 0.000 0.105
Cu1 Cu 0.218 0.500 0.350
Sn1 Sn 0.017 0.500 0.876
Sn2 Sn 0.154 0.500 0.565

---

# InTe5Pb4 PBE-GGA relaxed
# **Raw formation energy**: -0.368 eV per atom
# **Offset from the most stable computed form**: 0 meV per atom
# **D(E_F)**: 1.5 states/eV/f.u.
# **Electronic total energy**: -73.927 eV for the cell shown
data_InTe5Pb4
_chemical_formula_sum 'In2 Te10 Pb8'
_cell_length_a 4.600
_cell_length_b 4.600
_cell_length_c 32.629
_cell_angle_alpha 90.00
_cell_angle_beta 90.00
_cell_angle_gamma 90.00
_symmetry_space_group_name_H-M 'I 4/m m m'
_symmetry_Int_Tables_number 139
_symmetry_space_group_name_Hall '-I 4 2'
loop_
_atom_site_label
_atom_site_type_symbol
_atom_site_fract_x
_atom_site_fract_y
_atom_site_fract_z
In1 In 0.000 0.000 0.000
Te1 Te 0.000 0.000 0.098
Te2 Te 0.000 0.000 0.300
Te3 Te 0.000 0.000 0.500
Pb1 Pb 0.000 0.000 0.199
Pb2 Pb 0.000 0.000 0.399

---

# Zn3AgMo PBE-GGA relaxed
# **Offset from the most stable computed form**: 0 meV per atom
# **Energy of formation**: 1059 meV/atom
# **D(E_F)**: 3.5 states/eV/f.u.
# **Electronic total energy**: -12.207 eV for the cell shown
data_Zn3AgMo
_chemical_formula_sum 'Zn3 Ag1 Mo1'
_cell_length_a 4.933
_cell_length_b 4.933
_cell_length_c 4.933
_cell_angle_alpha 90.00
_cell_angle_beta 90.00
_cell_angle_gamma 90.00
_symmetry_space_group_name_H-M 'P m -3 m'
_symmetry_Int_Tables_number 221
_symmetry_space_group_name_Hall '-P 4 2 3'
loop_
_atom_site_label
_atom_site_type_symbol
_atom_site_fract_x
_atom_site_fract_y
_atom_site_fract_z
Zn1 Zn 0.000 0.000 0.500
Ag1 Ag 0.500 0.500 0.500
Mo1 Mo 0.000 0.000 0.000

---

# ScInBr2 PBE-GGA relaxed
# **Raw formation energy**: -0.484 eV per atom
# **Offset from the most stable computed form**: 498 meV per atom
# **D(E_F)**: 2.2 states/eV/f.u.
# **Electronic total energy**: -57.406 eV for the cell shown
data_ScInBr2
_chemical_formula_sum 'Sc4 In4 Br8'
_cell_length_a 7.462
_cell_length_b 7.462
_cell_length_c 7.462
_cell_angle_alpha 90.00
_cell_angle_beta 90.00
_cell_angle_gamma 90.00
_symmetry_space_group_name_H-M 'F m -3 m'
_symmetry_Int_Tables_number 225
_symmetry_space_group_name_Hall '-F 4 2 3'
loop_
_atom_site_label
_atom_site_type_symbol
_atom_site_fract_x
_atom_site_fract_y
_atom_site_fract_z
Sc1 Sc 0.000 0.000 0.000
In1 In 0.000 0.000 0.500
Br1 Br 0.250 0.250 0.250